[1]
The following is a PBE calculation of crystalline Y4ScAg at its relaxed geometry, from the Alexandria database.

It has space group P4/mmm (No. 123), with a = 3.532 Å, b = 3.532 Å, c = 13.687 Å, α = 90.00°, β = 90.00° and γ = 90.00°. Symmetry generates all atoms from Y at (0.000, 0.000, 0.141), Y at (0.500, 0.500, 0.331), Sc at (0.000, 0.000, 0.500) and Ag at (0.500, 0.500, 0.000).

The total energy is -5.91 eV/atom. The formation enthalpy at 0 K is -0.066 eV/atom. The energy above the lowest structure with this stoichiometry comes out at 0 meV per atom.

---

[2]
The following is a PBE calculation of crystalline TmCuHgAu at its relaxed geometry, from the Alexandria database.

It has space group F-43m (No. 216), with a = 6.793 Å, b = 6.793 Å, c = 6.793 Å, α = 90.00°, β = 90.00° and γ = 90.00°. Symmetry generates all atoms from Tm at (0.000, 0.000, 0.000), Cu at (0.250, 0.250, 0.250), Hg at (0.000, 0.000, 0.500) and Au at (0.250, 0.250, 0.750).

The total energy is -3.41 eV/atom. The formation enthalpy at 0 K is -0.375 eV/atom.

---

[3]
The following is a PBE calculation of crystalline LiLaPd3 at its relaxed geometry, from the Alexandria database.

It has space group Pm-3m (No. 221), with a = 4.496 Å, b = 4.496 Å, c = 4.496 Å, α = 90.00°, β = 90.00° and γ = 90.00°. Symmetry generates all atoms from Li at (0.000, 0.000, 0.000), La at (0.500, 0.500, 0.500) and Pd at (0.000, 0.000, 0.500).

The total energy is -5.00 eV/atom. The formation enthalpy at 0 K is -0.515 eV/atom. The energy above the lowest structure with this stoichiometry comes out at 99 meV per atom.

---

[4]
The following is a PBE calculation of crystalline CePr2Br8 at its relaxed geometry, from the Alexandria database.

It has space group C2/m (No. 12), with a = 9.081 Å, b = 13.284 Å, c = 5.845 Å, α = 90.00°, β = 106.33° and γ = 90.00°. Symmetry generates all atoms from Ce at (0.000, 0.000, 0.000), Pr at (0.000, 0.317, 0.500), Br at (0.000, 0.233, 0.000), Br at (0.134, 0.500, 0.821) and Br at (0.194, 0.128, 0.584).

The total energy is -4.31 eV/atom. Its raw formation energy is -1.69 eV per atom.

---

[5]
The following is a PBE calculation of crystalline Ta3MoAu at its relaxed geometry, from the Alexandria database.

It has space group Pm-3m (No. 221), with a = 4.803 Å, b = 4.803 Å, c = 4.803 Å, α = 90.00°, β = 90.00° and γ = 90.00°. Symmetry generates all atoms from Ta at (0.000, 0.000, 0.500), Mo at (0.000, 0.000, 0.000) and Au at (0.500, 0.500, 0.500).

The total energy is -8.55 eV/atom. The formation enthalpy at 0 K is 1.387 eV/atom. The energy above the lowest structure with this stoichiometry comes out at 0 meV per atom.

---

[6]
The following is a PBE calculation of crystalline Hf2Zn2Mo at its relaxed geometry, from the Alexandria database.

It has space group P4/mbm (No. 127), with a = 6.877 Å, b = 6.877 Å, c = 3.749 Å, α = 90.00°, β = 90.00° and γ = 90.00°. Symmetry generates all atoms from Hf at (0.184, 0.316, 0.000), Zn at (0.123, 0.623, 0.500) and Mo at (0.000, 0.000, 0.500).

The total energy is -6.65 eV/atom. The formation enthalpy at 0 K is 0.006 eV/atom. The energy above the lowest structure with this stoichiometry comes out at 120 meV per atom.